! Ge2TePb2 GGA-PBE relaxed; values from VASP
! Excess energy over the best structure of this formula in the dataset, meV per atom: 136
! Symmetry: P4/mbm
&SYSTEM
  ibrav = 0, nat = 10, ntyp = 3
/
ATOMIC_SPECIES
Ge 72.64 Ge.upf
Te 127.60 Te.upf
Pb 207.20 Pb.upf
ATOMIC_POSITIONS angstrom
Ge 0.8962 3.7939 0.0000
Ge 3.7939 8.4840 0.0000
Ge 5.5864 0.8962 0.0000
Ge 8.4840 5.5864 0.0000
Te 0.0000 0.0000 1.6139
Te 4.6901 4.6901 1.6139
Pb 1.8538 6.5440 1.6139
Pb 2.8363 1.8538 1.6139
Pb 6.5440 7.5264 1.6139
Pb 7.5264 2.8363 1.6139
CELL_PARAMETERS angstrom
9.3803 0.0000 0.0000
0.0000 9.3803 0.0000
0.0000 0.0000 3.2278

---

! Ge2TePb2 GGA-PBE relaxed; values from VASP
! Excess energy over the best structure of this formula in the dataset, meV per atom: 159
! Symmetry: I4/mmm
&SYSTEM
  ibrav = 0, nat = 10, ntyp = 3
/
ATOMIC_SPECIES
Ge 72.64 Ge.upf
Te 127.60 Te.upf
Pb 207.20 Pb.upf
ATOMIC_POSITIONS angstrom
Ge 0.0000 0.0000 1.2400
Ge 0.0000 0.0000 9.0711
Ge 2.6171 2.6171 3.9156
Ge 2.6171 2.6171 6.3955
Te 0.0000 0.0000 5.1556
Te 2.6171 2.6171 0.0000
Pb 0.0000 2.6171 2.5778
Pb 0.0000 2.6171 7.7333
Pb 2.6171 0.0000 2.5778
Pb 2.6171 0.0000 7.7333
CELL_PARAMETERS angstrom
5.2341 0.0000 0.0000
0.0000 5.2341 0.0000
0.0000 0.0000 10.3111

---

! GeTe5Pb4 GGA-PBE relaxed; values from VASP
! Symmetry: I4
&SYSTEM
  ibrav = 0, nat = 10, ntyp = 3
/
ATOMIC_SPECIES
Ge 72.64 Ge.upf
Te 127.60 Te.upf
Pb 207.20 Pb.upf
ATOMIC_POSITIONS angstrom
Ge 0.0000 0.0000 0.0000
Te 2.9058 0.9940 -0.2770
Te 4.1069 -2.1952 2.9913
Te 0.0000 0.0000 2.8012
Te 0.9940 7.2961 -0.2770
Te 2.1952 4.1069 2.9913
Pb 6.0687 2.0133 -0.1834
Pb 2.0133 4.1332 -0.1834
Pb 3.0876 0.9677 3.0849
Pb -0.9677 3.0876 3.0849
CELL_PARAMETERS angstrom
-5.1010 5.1010 3.2683
5.1010 -5.1010 3.2683
5.1010 5.1010 -3.2683

---

Number 1: ΔE_f (raw) 192 meV per atom, calculated volume 28.401 Å³/atom. Number 2: ΔE_f (raw) 215 meV per atom, calculated volume 28.248 Å³/atom. Number 3: ΔE_f (raw) -327 meV per atom, calculated volume 34.016 Å³/atom.